LiMgSc2Pd4 PBE optimized geometry; N(E_F) = 2.702 states/eV per cell; magnetic moment = 0.000 μB per formula unit; space group = R-3m (166)
1.0
2.277 1.315 7.419
-2.277 1.315 7.419
0.000 -2.630 7.419
Li Mg Sc Pd
1 1 2 4
direct
0.000 0.000 0.000
0.500 0.500 0.500
0.251 0.251 0.251
0.749 0.749 0.749
0.124 0.124 0.124
0.375 0.375 0.375
0.625 0.625 0.625
0.876 0.876 0.876

---

Li2MgSc2Pd5 PBE optimized geometry; N(E_F) = 10.518 states/eV per cell; magnetic moment = 0.000 μB per formula unit; space group = P4/mbm (127)
1.0
9.465 0.000 0.000
0.000 9.465 0.000
0.000 0.000 3.512
Li Mg Sc Pd
4 2 4 10
direct
0.123 0.377 0.000
0.377 0.877 0.000
0.623 0.123 0.000
0.877 0.623 0.000
0.000 0.000 0.000
0.500 0.500 0.000
0.176 0.676 0.000
0.324 0.176 0.000
0.676 0.824 0.000
0.824 0.324 0.000
0.000 0.500 0.500
0.072 0.206 0.500
0.206 0.928 0.500
0.294 0.428 0.500
0.428 0.706 0.500
0.500 0.000 0.500
0.572 0.294 0.500
0.706 0.572 0.500
0.794 0.072 0.500
0.928 0.794 0.500

---

Li2Mg2ScPd5 PBE optimized geometry; N(E_F) = 6.784 states/eV per cell; magnetic moment = 0.000 μB per formula unit; space group = P4/mbm (127)
1.0
9.387 0.000 0.000
0.000 9.387 0.000
0.000 0.000 3.610
Li Mg Sc Pd
4 4 2 10
direct
0.122 0.378 0.000
0.378 0.878 0.000
0.622 0.122 0.000
0.878 0.622 0.000
0.173 0.673 0.000
0.327 0.173 0.000
0.673 0.827 0.000
0.827 0.327 0.000
0.000 0.000 0.000
0.500 0.500 0.000
0.000 0.500 0.500
0.073 0.206 0.500
0.206 0.927 0.500
0.294 0.427 0.500
0.427 0.706 0.500
0.500 0.000 0.500
0.573 0.294 0.500
0.706 0.573 0.500
0.794 0.073 0.500
0.927 0.794 0.500

---

In meV/atom, the DFT formation energy values for the records above are, in order, -781.8; -626.4; -585.4.